# PBE-GGA Rb3TcIr, relaxed
# **Energy relative to the elements**: 1.686 eV/atom
# **Calculated total energy**: -13.70 eV per cell
data_Rb3TcIr
_chemical_formula_sum 'Rb3 Tc1 Ir1'
_cell_length_a 6.347
_cell_length_b 6.347
_cell_length_c 6.347
_cell_angle_alpha 90.00
_cell_angle_beta 90.00
_cell_angle_gamma 90.00
_symmetry_space_group_name_H-M 'P m -3 m'
_symmetry_Int_Tables_number 221
_symmetry_space_group_name_Hall '-P 4 2 3'
loop_
_atom_site_label
_atom_site_fract_x
_atom_site_fract_y
_atom_site_fract_z
Rb1 0.000 0.000 0.500
Tc1 0.500 0.500 0.500
Ir1 0.000 0.000 0.000